Record 1
Material: NaLaNb3
Method: DFT, PBE-GGA
State: optimized geometry

Values from the calculation:
space group: No. 221
energy relative to the elements: 9.028 eV/f.u.

Cell: 4.937 4.937 4.937 Å, 90.00 90.00 90.00°
Fractional coordinates of all 5 atoms:
Na  0.000  0.000  0.000
La  0.500  0.500  0.500
Nb  0.500  0.000  0.000
Nb  0.000  0.000  0.500
Nb  0.000  0.500  0.000

Record 2
Material: BaMgAg2
Method: DFT, PBE-GGA
State: optimized geometry

Values from the calculation:
space group: No. 6
energy relative to the elements: -0.513 eV/f.u.

Cell: 4.471 3.910 6.909 Å, 73.59 90.00 90.00°
Fractional coordinates of all 4 atoms:
Mg  0.500  0.747  0.880
Ba  0.000  0.462  0.455
Ag  0.000  0.208  0.955
Ag  0.500  0.084  0.210

Record 3
Material: Ba2CoPd2
Method: DFT, PBE-GGA
State: optimized geometry

Values from the calculation:
space group: No. 139
energy relative to the elements: 0.195 eV/f.u.

Cell: 6.185 6.185 5.817 Å, 57.88 57.88 90.00°
Fractional coordinates of all 5 atoms:
Pd  0.675  0.675  0.649
Pd  0.325  0.325  0.351
Co  0.000  0.000  0.000
Ba  0.750  0.250  0.500
Ba  0.250  0.750  0.500

Record 4
Material: BaCuAs2O6
Method: DFT, PBE-GGA
State: optimized geometry

Values from the calculation:
ΔE_f (raw): -1238 meV/atom
space group: No. 148

Cell: 5.626 5.626 6.571 Å, 64.66 64.66 60.00°
Fractional coordinates of all 10 atoms:
O  0.692  0.094  0.710
O  0.906  0.496  0.290
O  0.504  0.692  0.710
O  0.308  0.906  0.290
O  0.496  0.308  0.290
O  0.094  0.504  0.710
As  0.260  0.260  0.219
As  0.740  0.740  0.781
Ba  0.000  0.000  0.000
Cu  0.500  0.500  0.500

| no. | density of states at the Fermi level (states/eV/f.u.) | density (kg/m3) |
| --- | --- | --- |
| 1 | 8.8 | 6081 |
| 2 | 1.3 | 5408 |
| 3 | 4.7 | 6184 |
| 4 | 2.0 | 4738 |